The following is a PBE calculation of crystalline BaYMo2 at its relaxed geometry, from Alexandria via LeMat-Bulk.

Calculated values
Density of states at the Fermi level   6.0 states/eV/f.u.
Polymorph energy (0 for the lowest one)   752.3 meV per atom
Formation enthalpy at 0 K   114.4 kJ per mole of atoms

Cell: 5.9990 5.9072 3.0901 Å, 81.00 78.05 116.98°
Fractional positions:
Y 0.0000 0.5000 0.5000
Mo 0.5000 0.0000 0.5000
Mo 0.0000 0.0000 0.0000
Ba 0.5000 0.5000 0.0000


The following is a PBE calculation of crystalline CaRhC2O6 at its relaxed geometry, from Alexandria via LeMat-Bulk.

Calculated values
Density of states at the Fermi level   4.2 states/eV/f.u.
Formation energy (no corrections)   -1.51 eV per atom

Cell: 4.9210 4.9210 6.1449 Å, 66.40 66.40 60.00°
Each line ends with the local moment (μB).
Fractional positions:
O 0.5001 0.7367 0.7354  0.03
O 0.2633 0.9721 0.2646  0.03
O 0.7367 0.0279 0.7354  0.03
O 0.9721 0.4999 0.2646  0.03
O 0.4999 0.2633 0.2646  0.03
O 0.0279 0.5001 0.7354  0.03
Ca 0.0000 0.0000 0.0000  0.00
Rh 0.5000 0.5000 0.5000  0.73
C 0.7564 0.7564 0.7307  0.02
C 0.2436 0.2436 0.2693  0.02


The following is a PBE calculation of crystalline CaZnSi2 at its relaxed geometry, from Alexandria via LeMat-Bulk.

Calculated values
Density of states at the Fermi level   2.6 states/eV/f.u.
Formation energy (no corrections)   0.24 eV per atom

Cell: 8.3151 8.3151 8.3151 Å, 23.89 23.89 23.89°
Fractional positions:
Ca 0.7500 0.7500 0.7500
Si 0.9864 0.9864 0.9864
Si 0.5136 0.5136 0.5136
Zn 0.2500 0.2500 0.2500


The following is a PBE calculation of crystalline CsReAs3 at its relaxed geometry, from Alexandria via LeMat-Bulk.

Calculated values
Density of states at the Fermi level   5.0 states/eV/f.u.
Polymorph energy (0 for the lowest one)   0.0 meV per atom
Formation enthalpy at 0 K   28.6 kJ per mole of atoms

Cell: 5.0137 5.0137 5.0137 Å, 90.00 90.00 90.00°
Fractional positions:
Cs 0.5000 0.5000 0.5000
Re 0.0000 0.0000 0.0000
As 0.0000 0.0000 0.5000
As 0.0000 0.5000 0.0000
As 0.5000 0.0000 0.0000


The following is a PBE calculation of crystalline KLaBr at its relaxed geometry, from Alexandria via LeMat-Bulk.

Calculated values
Density of states at the Fermi level   3.2 states/eV/f.u.
Formation energy (no corrections)   -0.71 eV per atom
Polymorph energy (0 for the lowest one)   77.7 meV per atom

Cell: 9.2714 8.8859 3.9108 Å, 83.15 72.09 24.76°
Each line ends with the local moment (μB).
Fractional positions:
Br 0.0031 0.0031 0.9969  0.01
La 0.6409 0.6409 0.3591  0.25
K 0.3560 0.3560 0.6440  0.01


The following is a PBE calculation of crystalline AcYS2 at its relaxed geometry, from Alexandria via LeMat-Bulk.

Calculated values
Density of states at the Fermi level   1.2 states/eV/f.u.
Formation energy (no corrections)   -1.93 eV per atom
Polymorph energy (0 for the lowest one)   62.7 meV per atom

Cell: 4.0100 4.0100 7.5736 Å, 74.65 74.65 60.00°
Fractional positions:
S 0.0726 0.0726 0.7823
S 0.2604 0.2604 0.2188
Y 0.6719 0.6719 0.9844
Ac 0.4952 0.4952 0.5145